Material: CeDy6Ho10
Method: DFT, PBE-GGA
State: relaxed

Computed properties:
- volume (Å³ per atom) = 31.767
- calculated total energy (eV per atom) = -4.518
- ΔE_f (eV/atom) = 0.148

Cell: 6.780 9.591 9.591 Å, 120.00 90.00 90.00°
Positions (direct):
Ce (0.500, 0.000, 0.000)
Dy (0.699, 0.378, 0.378)
Dy (0.699, 0.000, 0.622)
Dy (0.699, 0.622, 0.000)
Dy (0.301, 0.622, 0.622)
Dy (0.301, 0.000, 0.378)
Dy (0.301, 0.378, 0.000)
Ho (0.817, 0.726, 0.726)
Ho (0.817, 0.000, 0.274)
Ho (0.817, 0.274, 0.000)
Ho (0.183, 0.274, 0.274)
Ho (0.183, 0.000, 0.726)
Ho (0.183, 0.726, 0.000)
Ho (0.500, 0.333, 0.667)
Ho (0.500, 0.667, 0.333)
Ho (0.000, 0.667, 0.333)
Ho (0.000, 0.333, 0.667)